[1]
Here is a relaxed NaSrRhF6 crystal from Alexandria. Energies are from PBE.

Cell lengths 5.6065, 5.6065, 5.1934 Å; angles 90.00, 90.00, 120.00 degrees
Closest atoms and distances in Å follow each position.
Space group P312 (No. 149)
Unique sites:
Na: 0.0000 0.0000 0.0000 (multiplicity 1)  6 F 2.28
Sr: 0.6667 0.3333 0.5000 (multiplicity 1)  6 F 2.46
Rh: 0.3333 0.6667 0.0000 (multiplicity 1)  6 F 2.02
F: 0.0384 0.3697 0.2214 (multiplicity 6)  1 Rh 2.02

Values from the calculation:
- crystal system = trigonal
- E_form (uncorrected) (eV/atom) = -2.65

---

[2]
Here is a relaxed NaTeRh2F crystal from Alexandria. Energies are from PBE.

Cell lengths 4.8486, 4.8486, 3.7598 Å; angles 90.00, 90.00, 90.00 degrees
Closest atoms and distances in Å follow each position.
Space group P4/mmm (No. 123)
Unique sites:
Na: 0.0000 0.0000 0.0000 (multiplicity 1)  2 F 1.88
Te: 0.5000 0.5000 0.5000 (multiplicity 1)  8 Rh 3.07, 4 F 3.43
Rh: 0.0000 0.5000 0.0000 (multiplicity 2)  2 Na 2.42
F: 0.0000 0.0000 0.5000 (multiplicity 1)  2 Na 1.88

Values from the calculation:
- crystal system = tetragonal
- E_form (uncorrected) (eV/atom) = 0.28

---

[3]
Here is a relaxed Na2Tl3RhF9 crystal from Alexandria. Energies are from PBE.

Cell lengths 6.2294, 6.2294, 7.5896 Å; angles 90.00, 90.00, 120.00 degrees
Closest atoms and distances in Å follow each position.
Space group P-3m1 (No. 164)
Unique sites:
Na: 0.3333 0.6667 0.1896 (multiplicity 2)  6 F 2.30-2.34
Tl: 0.0000 0.0000 0.0000 (multiplicity 1)  12 F 3.08-3.11
Tl: 0.3333 0.6667 0.7516 (multiplicity 2)  3 F 2.61
Rh: 0.0000 0.0000 0.5000 (multiplicity 1)  6 F 1.96
F: 0.0000 0.5000 0.0000 (multiplicity 3)  2 Na 2.30
F: 0.1474 0.2947 0.3483 (multiplicity 6)  1 Rh 1.96

Values from the calculation:
- crystal system = trigonal
- E_form (uncorrected) (eV/atom) = -2.01

---

[4]
Here is a relaxed NaTmRhF6 crystal from Alexandria. Energies are from PBE.

Cell lengths 5.6175, 5.6175, 9.9779 Å; angles 90.00, 90.00, 120.00 degrees
Closest atoms and distances in Å follow each position.
Space group P-31c (No. 163)
Unique sites:
Na: 0.0000 0.0000 0.0000 (multiplicity 2)  6 F 2.36
Tm: 0.3333 0.6667 0.2500 (multiplicity 2)  6 F 2.16
Rh: 0.3333 0.6667 0.7500 (multiplicity 2)  6 F 2.18
F: 0.0017 0.3473 0.1342 (multiplicity 12)  1 Tm 2.16, 1 Rh 2.18, 1 Na 2.36

Values from the calculation:
- crystal system = trigonal
- E_form (uncorrected) (eV/atom) = -2.75

---

[5]
Here is a relaxed NaYRh2F crystal from Alexandria. Energies are from PBE.

Cell lengths 4.4960, 4.4960, 5.5750 Å; angles 90.00, 90.00, 90.00 degrees
Closest atoms and distances in Å follow each position.
Space group P4/mmm (No. 123)
Unique sites:
Na: 0.0000 0.0000 0.0000 (multiplicity 1)  4 Rh 2.25
Y: 0.0000 0.0000 0.5000 (multiplicity 1)  2 Na 2.79
Rh: 0.0000 0.5000 0.0000 (multiplicity 2)  2 Na 2.25
F: 0.5000 0.5000 0.5000 (multiplicity 1)  4 Y 3.18

Values from the calculation:
- crystal system = tetragonal
- E_form (uncorrected) (eV/atom) = 0.81

---

[6]
Here is a relaxed Na2ZnRh3F12 crystal from Alexandria. Energies are from PBE.

Cell lengths 7.5393, 7.5393, 18.3131 Å; angles 90.00, 90.00, 120.00 degrees
Closest atoms and distances in Å follow each position.
Space group R-3m (No. 166, hexagonal axes)
Unique sites:
Na: 0.0000 0.0000 0.2024 (multiplicity 6)  6 F 2.46-2.62
Zn: 0.0000 0.0000 0.5000 (multiplicity 3)  6 F 2.06
Rh: 0.0000 0.5000 0.0000 (multiplicity 9)  6 F 2.02-2.06
F: 0.0632 0.5316 0.1082 (multiplicity 18)  1 Rh 2.02, 1 Zn 2.06
F: 0.0781 0.5390 0.3655 (multiplicity 18)  2 Rh 2.06

Values from the calculation:
- crystal system = trigonal
- E_form (uncorrected) (eV/atom) = -1.83

---

[7]
Here is a relaxed Na2RuF5 crystal from Alexandria. Energies are from PBE.

Cell lengths 4.0923, 6.0289, 6.2447 Å; angles 67.37, 71.55, 70.33 degrees
Closest atoms and distances in Å follow each position.
Space group P1 (No. 1)
Unique sites:
Na: 0.0000 0.0000 0.0000 (multiplicity 1)  2 F 2.18-2.36
Na: 0.4609 0.6137 0.4780 (multiplicity 1)  5 F 2.27-2.39
Ru: 0.2755 0.3915 0.0619 (multiplicity 1)  6 F 1.99-2.05
F: 0.0620 0.5764 0.3079 (multiplicity 1)  1 Ru 2.04
F: 0.2310 0.7234 0.8145 (multiplicity 1)  1 Ru 1.99, 1 Na 2.18
F: 0.3519 0.0345 0.2697 (multiplicity 1)  1 Ru 2.02
F: 0.4825 0.2354 0.8003 (multiplicity 1)  1 Ru 2.01
F: 0.7739 0.3865 0.0702 (multiplicity 1)  2 Ru 2.05

Values from the calculation:
- crystal system = triclinic
- E_form (uncorrected) (eV/atom) = -2.14

---

[8]
Here is a relaxed NaRu2F11 crystal from Alexandria. Energies are from PBE.

Cell lengths 9.1050, 9.2134, 10.5332 Å; angles 90.00, 90.00, 90.00 degrees
Closest atoms and distances in Å follow each position.
Space group Ibam (No. 72)
Unique sites:
Na: 0.0000 0.0000 0.2500 (multiplicity 4)  8 F 2.57-2.61
Ru: 0.1588 0.3425 0.0000 (multiplicity 8)  6 F 1.84-2.05
F: 0.0000 0.5000 0.0000 (multiplicity 4)  2 Ru 2.05
F: 0.0551 0.2402 0.1271 (multiplicity 16)  1 Ru 1.89
F: 0.1996 0.2993 0.5000 (multiplicity 8)  1 Ru 1.84
F: 0.2367 0.0548 0.3733 (multiplicity 16)  1 Ru 1.89

Values from the calculation:
- crystal system = orthorhombic
- E_form (uncorrected) (eV/atom) = -1.87

---

[9]
Here is a relaxed NaRuF2 crystal from Alexandria. Energies are from PBE.

Cell lengths 2.8807, 2.8807, 20.6797 Å; angles 90.00, 90.00, 120.00 degrees
Closest atoms and distances in Å follow each position.
Space group R-3m (No. 166, hexagonal axes)
Unique sites:
Na: 0.0000 0.0000 0.0000 (multiplicity 3)  6 F 2.19
Ru: 0.0000 0.0000 0.5000 (multiplicity 3)  2 F 2.03
F: 0.0000 0.0000 0.4020 (multiplicity 6)  1 Ru 2.03, 3 Na 2.19

Values from the calculation:
- crystal system = trigonal
- E_form (uncorrected) (eV/atom) = -1.55
- energy relative to the lowest polymorph listed for this composition (meV per atom) = 0

---

[10]
Here is a relaxed Na2RuF7 crystal from Alexandria. Energies are from PBE.

Cell lengths 12.7509, 6.2218, 8.9207 Å; angles 90.00, 129.24, 90.00 degrees
Closest atoms and distances in Å follow each position.
Space group C2/c (No. 15)
Unique sites:
Na: 0.1946 0.0806 0.2885 (multiplicity 8)  7 F 2.37-2.61
Ru: 0.0000 0.3670 0.7500 (multiplicity 4)  7 F 1.95-1.98
F: 0.0000 0.0529 0.7500 (multiplicity 4)  1 Ru 1.95
F: 0.0934 0.3292 0.0256 (multiplicity 8)  1 Ru 1.95
F: 0.1196 0.3787 0.3695 (multiplicity 8)  1 Ru 1.98
F: 0.1582 0.2954 0.7707 (multiplicity 8)  1 Ru 1.96

Values from the calculation:
- crystal system = monoclinic
- E_form (uncorrected) (eV/atom) = -2.08

---

[11]
Here is a relaxed NaRu3F crystal from Alexandria. Energies are from PBE.

Cell lengths 4.3711, 4.3711, 4.3711 Å; angles 90.00, 90.00, 90.00 degrees
Closest atoms and distances in Å follow each position.
Space group Pm-3m (No. 221)
Unique sites:
Na: 0.0000 0.0000 0.0000 (multiplicity 1)  12 Ru 3.09
Ru: 0.0000 0.5000 0.5000 (multiplicity 3)  2 F 2.19
F: 0.5000 0.5000 0.5000 (multiplicity 1)  6 Ru 2.19

Values from the calculation:
- crystal system = cubic
- E_form (uncorrected) (eV/atom) = 1.15
- energy relative to the lowest polymorph listed for this composition (meV per atom) = 0

---

[12]
Here is a relaxed NaRu2F crystal from Alexandria. Energies are from PBE.

Cell lengths 4.3915, 4.3915, 16.9675 Å; angles 90.00, 90.00, 90.00 degrees
Closest atoms and distances in Å follow each position.
Space group I-42d (No. 122)
Unique sites:
Na: 0.0000 0.0000 0.0000 (multiplicity 4)  8 Ru 3.08-3.42, 4 F 3.11
Ru: 0.0573 0.7500 0.6250 (multiplicity 8)  2 Ru 2.25, 2 F 2.40
F: 0.0000 0.0000 0.5000 (multiplicity 4)  4 Ru 2.40

Values from the calculation:
- crystal system = tetragonal
- E_form (uncorrected) (eV/atom) = 0.62
- energy relative to the lowest polymorph listed for this composition (meV per atom) = 0